Record 1
SrGaNF2 after structural relaxation, computed with PBE-GGA.

The structure in POSCAR format:
```
SrGaNF2
1.0
4.2611 0.0000 0.0000
0.0000 4.2611 0.0000
0.0000 0.0000 3.7136
Sr N Ga F
1 1 1 2
Direct
0.5000 0.5000 0.5000
0.0000 0.0000 0.5000
0.0000 0.0000 0.0000
0.0000 0.5000 0.0000
0.5000 0.0000 0.0000
```

**Formation energy (no corrections)**: -9.5 eV per formula unit
**Excess energy over the best structure of this formula in the dataset**: 0.00 eV/f.u.
**SG**: P4/mmm, No. 123
**Total energy**: -26.2 eV/cell
**Total moment**: 0.000 μB/atom

=====

Record 2
SrGaNF2 after structural relaxation, computed with PBE-GGA.

The structure in POSCAR format:
```
SrGaNF2
1.0
4.6641 0.0000 0.0000
0.0000 4.6641 0.0000
0.0000 0.0000 5.1838
Sr N Ga F
1 1 1 2
Direct
0.0000 0.0000 0.0000
0.0000 0.0000 0.5000
0.5000 0.5000 0.5000
0.0000 0.5000 0.0000
0.5000 0.0000 0.0000
```

**Formation energy (no corrections)**: -5.7 eV per formula unit
**Excess energy over the best structure of this formula in the dataset**: 3.75 eV/f.u.
**SG**: P4/mmm, No. 123
**Total energy**: -22.5 eV/cell
**Total moment**: 0.400 μB/atom

=====

Record 3
SrGaN2F after structural relaxation, computed with PBE-GGA.

The structure in POSCAR format:
```
SrGaN2F
1.0
3.8521 0.0000 0.0000
0.0000 3.8521 0.0000
0.0000 0.0000 4.4845
Sr N Ga F
1 2 1 1
Direct
0.5000 0.5000 0.5000
0.0000 0.5000 0.0000
0.5000 0.0000 0.0000
0.0000 0.0000 0.0000
0.0000 0.0000 0.5000
```

**Formation energy (no corrections)**: -3.6 eV per formula unit
**Excess energy over the best structure of this formula in the dataset**: 0.00 eV/f.u.
**SG**: P4/mmm, No. 123
**Total energy**: -26.9 eV/cell
**Total moment**: 0.000 μB/atom

=====

Record 4
TaGaN2F after structural relaxation, computed with PBE-GGA.

The structure in POSCAR format:
```
TaGaN2F
1.0
4.0828 0.0000 0.0000
0.0000 4.0828 0.0000
0.0000 0.0000 4.1432
N F Ga Ta
2 1 1 1
Direct
0.0000 0.5000 0.0000
0.5000 0.0000 0.0000
0.0000 0.0000 0.5000
0.5000 0.5000 0.5000
0.0000 0.0000 0.0000
```

**Formation energy (no corrections)**: -3.2 eV per formula unit
**Excess energy over the best structure of this formula in the dataset**: 0.00 eV/f.u.
**SG**: P4/mmm, No. 123
**Total energy**: -36.6 eV/cell
**Total moment**: 0.000 μB/atom

=====

Record 5
TaGaN2F after structural relaxation, computed with PBE-GGA.

The structure in POSCAR format:
```
TaGaN2F
1.0
-0.7945 3.8612 0.0729
-3.8551 -0.7886 -0.2489
-0.2068 -0.1096 3.5504
N F Ga Ta
2 1 1 1
Direct
0.0000 0.5000 0.0000
0.5000 0.0000 0.0000
0.0000 0.0000 0.5000
0.0000 0.0000 0.0000
0.5000 0.5000 0.5000
```

**Formation energy (no corrections)**: 1.1 eV per formula unit
**Excess energy over the best structure of this formula in the dataset**: 4.28 eV/f.u.
**SG**: P4/mmm, No. 123
**Total energy**: -32.3 eV/cell
**Total moment**: 0.170 μB/atom

=====

Record 6
GaTcN2F after structural relaxation, computed with PBE-GGA.

The structure in POSCAR format:
```
GaTcN2F
1.0
3.9609 0.0000 0.0000
0.0000 3.6838 0.0000
0.0000 0.0000 3.9609
N Tc Ga F
2 1 1 1
Direct
0.0000 0.0000 0.5000
0.5000 0.0000 0.0000
0.5000 0.5000 0.5000
0.0000 0.5000 0.0000
0.0000 0.0000 0.0000
```

**Formation energy (no corrections)**: 9.2 eV per formula unit
**Excess energy over the best structure of this formula in the dataset**: 9.30 eV/f.u.
**SG**: P4/mmm, No. 123
**Total energy**: -22.7 eV/cell
**Total moment**: 0.000 μB/atom

=====

Record 7
GaTcN2F after structural relaxation, computed with PBE-GGA.

The structure in POSCAR format:
```
GaTcN2F
1.0
-2.2819 -2.4394 -1.9809
2.5616 -0.0260 -2.9188
2.0156 -3.3460 1.7987
N Tc Ga F
2 1 1 1
Direct
0.0000 0.5000 0.0000
0.5000 0.0000 0.0000
0.0000 0.0000 0.0000
0.5000 0.5000 0.5000
0.0000 0.0000 0.5000
```

**Formation energy (no corrections)**: -0.1 eV per formula unit
**Excess energy over the best structure of this formula in the dataset**: 0.00 eV/f.u.
**SG**: P4/mmm, No. 123
**Total energy**: -32.0 eV/cell
**Total moment**: 0.036 μB/atom

=====

Record 8
GaTcNF2 after structural relaxation, computed with PBE-GGA.

The structure in POSCAR format:
```
GaTcNF2
1.0
4.2994 0.0000 0.0000
0.0000 4.2994 0.0000
0.0000 0.0000 3.7981
N Tc Ga F
1 1 1 2
Direct
0.0000 0.0000 0.5000
0.0000 0.0000 0.0000
0.5000 0.5000 0.5000
0.0000 0.5000 0.0000
0.5000 0.0000 0.0000
```

**Formation energy (no corrections)**: -3.7 eV per formula unit
**Excess energy over the best structure of this formula in the dataset**: 0.00 eV/f.u.
**SG**: P4/mmm, No. 123
**Total energy**: -29.1 eV/cell
**Total moment**: 0.067 μB/atom

=====

Record 9
GaTcN2F after structural relaxation, computed with PBE-GGA.

The structure in POSCAR format:
```
GaTcN2F
1.0
3.9435 0.0000 0.0000
0.0000 3.9435 0.0000
0.0000 0.0000 3.7318
N Tc Ga F
2 1 1 1
Direct
0.0000 0.5000 0.0000
0.5000 0.0000 0.0000
0.5000 0.5000 0.5000
0.0000 0.0000 0.0000
0.0000 0.0000 0.5000
```

**Formation energy (no corrections)**: 3.1 eV per formula unit
**Excess energy over the best structure of this formula in the dataset**: 3.26 eV/f.u.
**SG**: P4/mmm, No. 123
**Total energy**: -28.8 eV/cell
**Total moment**: 0.607 μB/atom

=====

Record 10
GaTcNF2 after structural relaxation, computed with PBE-GGA.

The structure in POSCAR format:
```
GaTcNF2
1.0
-0.7729 -3.0736 -2.4168
3.5894 0.4192 -1.6810
1.5164 -2.4474 2.6275
N Tc Ga F
1 1 1 2
Direct
0.0000 0.0000 0.5000
0.5000 0.5000 0.5000
0.0000 0.0000 0.0000
0.0000 0.5000 0.0000
0.5000 0.0000 0.0000
```

**Formation energy (no corrections)**: -1.5 eV per formula unit
**Excess energy over the best structure of this formula in the dataset**: 2.14 eV/f.u.
**SG**: P4/mmm, No. 123
**Total energy**: -27.0 eV/cell
**Total moment**: 0.924 μB/atom

=====

Record 11
GaTeNF2 after structural relaxation, computed with PBE-GGA.

The structure in POSCAR format:
```
GaTeNF2
1.0
3.9657 0.0000 0.0000
0.0000 3.9657 0.0000
0.0000 0.0000 4.2346
N Te Ga F
1 1 1 2
Direct
0.0000 0.0000 0.5000
0.5000 0.5000 0.5000
0.0000 0.0000 0.0000
0.0000 0.5000 0.0000
0.5000 0.0000 0.0000
```

**Formation energy (no corrections)**: -2.8 eV per formula unit
**Excess energy over the best structure of this formula in the dataset**: 0.00 eV/f.u.
**SG**: P4/mmm, No. 123
**Total energy**: -21.1 eV/cell
**Total moment**: 0.135 μB/atom

=====

Record 12
GaTeNF2 after structural relaxation, computed with PBE-GGA.

The structure in POSCAR format:
```
GaTeNF2
1.0
-0.5993 2.9822 -3.5581
-4.6073 0.0596 0.8260
0.4999 3.1560 2.5610
N Te Ga F
1 1 1 2
Direct
0.0000 0.0000 0.5000
0.0000 0.0000 0.0000
0.5000 0.5000 0.5000
0.0000 0.5000 0.0000
0.5000 0.0000 0.0000
```

**Formation energy (no corrections)**: -2.3 eV per formula unit
**Excess energy over the best structure of this formula in the dataset**: 0.49 eV/f.u.
**SG**: P4/mmm, No. 123
**Total energy**: -20.6 eV/cell
**Total moment**: 0.000 μB/atom

=====

Record 13
TiGaNF2 after structural relaxation, computed with PBE-GGA.

The structure in POSCAR format:
```
TiGaNF2
1.0
4.1170 0.0000 0.0000
0.0000 4.1170 0.0000
0.0000 0.0000 3.9061
N F Ga Ti
1 2 1 1
Direct
0.0000 0.0000 0.5000
0.0000 0.5000 0.0000
0.5000 0.0000 0.0000
0.5000 0.5000 0.5000
0.0000 0.0000 0.0000
```

**Formation energy (no corrections)**: -8.2 eV per formula unit
**Excess energy over the best structure of this formula in the dataset**: 0.00 eV/f.u.
**SG**: P4/mmm, No. 123
**Total energy**: -31.2 eV/cell
**Total moment**: 0.000 μB/atom

=====

Record 14
TiGaNF2 after structural relaxation, computed with PBE-GGA.

The structure in POSCAR format:
```
TiGaNF2
1.0
3.9698 0.0000 0.0000
0.0000 3.9698 0.0000
0.0000 0.0000 3.8088
N F Ga Ti
1 2 1 1
Direct
0.0000 0.0000 0.5000
0.0000 0.5000 0.0000
0.5000 0.0000 0.0000
0.0000 0.0000 0.0000
0.5000 0.5000 0.5000
```

**Formation energy (no corrections)**: -4.7 eV per formula unit
**Excess energy over the best structure of this formula in the dataset**: 3.49 eV/f.u.
**SG**: P4/mmm, No. 123
**Total energy**: -27.7 eV/cell
**Total moment**: 0.397 μB/atom

=====

Record 15
TiGaN2F after structural relaxation, computed with PBE-GGA.

The structure in POSCAR format:
```
TiGaN2F
1.0
-0.9032 -3.7971 -0.8326
1.7449 0.3678 -3.5703
3.4037 -1.1484 1.5452
N F Ga Ti
2 1 1 1
Direct
0.0000 0.5000 0.0000
0.5000 0.0000 0.0000
0.0000 0.0000 0.5000
0.5000 0.5000 0.5000
0.0000 0.0000 0.0000
```

**Formation energy (no corrections)**: -2.9 eV per formula unit
**Excess energy over the best structure of this formula in the dataset**: 0.00 eV/f.u.
**SG**: P4/mmm, No. 123
**Total energy**: -32.4 eV/cell
**Total moment**: 0.000 μB/atom